## 1
# Tl3AsH

A geometry-optimized Tl3AsH structure (PBE, Alexandria via LeMat-Bulk).

abc: 6.593 10.425 7.670
angles: 90.00 100.84 90.00
Positions (direct):
Tl 0.040 0.000 0.251
Tl 0.040 0.500 0.751
Tl 0.277 0.236 0.563
Tl 0.277 0.264 0.063
Tl 0.277 0.738 0.062
Tl 0.277 0.762 0.562
Tl 0.723 0.238 0.438
Tl 0.723 0.262 0.938
Tl 0.723 0.736 0.937
Tl 0.723 0.764 0.437
Tl 0.960 0.000 0.749
Tl 0.960 0.500 0.249
As 0.480 0.501 0.341
As 0.480 0.999 0.841
As 0.520 0.001 0.159
As 0.520 0.499 0.659
H 0.001 0.624 0.501
H 0.001 0.876 0.001
H 0.999 0.124 0.999
H 0.999 0.376 0.499

The density of states at the Fermi level comes out at 0.3271 states/eV per atom. As for the total magnetization: 0.00 μB per formula unit. The symmetry is No. 14.

=====

## 2
# Tl3AsH

A geometry-optimized Tl3AsH structure (PBE, Alexandria via LeMat-Bulk).

abc: 4.919 4.919 4.919
angles: 90.00 90.00 90.00
Positions (direct):
Tl 0.000 0.000 0.500
Tl 0.000 0.500 0.000
Tl 0.500 0.000 0.000
As 0.500 0.500 0.500
H 0.000 0.000 0.000

The density of states at the Fermi level comes out at 0.3883 states/eV per atom. As for the total magnetization: 0.00 μB per formula unit. The symmetry is No. 221.

=====

Here are the energies relative to the best structure, in eV/atom: 1 0.000; 2 0.089.